# 1
The following is a GGA-PBE calculation of TlCu2TeI6 after structural relaxation, from Alexandria.

abc: 7.709 10.216 10.216
angles: 86.55 82.96 82.96
Element x y z (fractional)
I (0.396, 0.569, 0.735)
I (0.343, 0.250, 0.029)
Cu (0.282, 0.387, 0.241)
Te (0.750, 0.713, 0.287)
Cu (0.782, 0.241, 0.387)
I (0.104, 0.265, 0.431)
I (0.604, 0.431, 0.265)
I (0.899, 0.393, 0.841)
Te (0.250, 0.287, 0.713)
I (0.399, 0.841, 0.393)
Tl (0.750, 0.081, 0.919)
I (0.601, 0.159, 0.607)
I (0.657, 0.750, 0.971)
I (0.157, 0.971, 0.750)
Tl (0.250, 0.919, 0.081)
I (0.101, 0.607, 0.159)
I (0.896, 0.735, 0.569)
Cu (0.218, 0.759, 0.613)
Cu (0.718, 0.613, 0.759)
I (0.843, 0.029, 0.250)

total magnetic moment	0.000	μB/f.u.
DOS at the Fermi energy	7.638	states/eV per cell
DFT total energy	-0.091	hartree per atom
raw formation energy	-0.171	eV/atom


# 2
The following is a GGA-PBE calculation of Sm8Ir3PdI4 after structural relaxation, from Alexandria.

abc: 8.382 9.368 8.379
angles: 116.51 120.01 90.00
Element x y z (fractional)
Sm (0.233, 0.684, 0.466)
I (0.000, 0.000, 0.000)
I (0.500, 0.000, 0.000)
Ir (0.000, 0.500, 0.500)
Sm (0.767, 0.316, 0.534)
I (0.500, 0.000, 0.500)
Ir (0.500, 0.500, 0.000)
Sm (0.233, 0.684, 0.951)
Sm (0.767, 0.316, 0.049)
I (0.000, 0.000, 0.500)
Sm (0.728, 0.684, 0.456)
Sm (0.718, 0.684, 0.951)
Pd (0.000, 0.500, 0.000)
Ir (0.500, 0.500, 0.500)
Sm (0.272, 0.316, 0.544)
Sm (0.282, 0.316, 0.049)

total magnetic moment	0.000	μB/f.u.
DOS at the Fermi energy	6.396	states/eV per cell
DFT total energy	-0.209	hartree per atom
raw formation energy	-0.963	eV/atom


# 3
The following is a GGA-PBE calculation of Hf5Mn4Rh after structural relaxation, from Alexandria.

abc: 3.181 3.181 15.955
angles: 90.00 90.00 90.00
Site moments in Bohr magnetons follow the coordinates.
Element x y z (fractional)
Mn (0.000, 0.000, 0.799)  0.41
Hf (0.500, 0.500, 0.500)  -0.23
Hf (0.500, 0.500, 0.699)  -0.17
Mn (0.000, 0.000, 0.201)  0.41
Hf (0.500, 0.500, 0.107)  -0.06
Hf (0.500, 0.500, 0.893)  -0.06
Mn (0.000, 0.000, 0.402)  1.12
Hf (0.500, 0.500, 0.301)  -0.17
Rh (0.000, 0.000, 0.000)  0.01
Mn (0.000, 0.000, 0.598)  1.12

total magnetic moment	2.297	μB/f.u.
DOS at the Fermi energy	10.387	states/eV per cell
DFT total energy	-0.356	hartree per atom
energy of formation from the pure elements	-0.316	eV per atom


# 4
The following is a GGA-PBE calculation of SrPb2Br after structural relaxation, from Alexandria.

abc: 5.141 5.141 5.947
angles: 90.00 90.00 90.00
Element x y z (fractional)
Pb (0.000, 0.000, 0.483)
Sr (0.500, 0.500, 0.250)
Pb (0.000, 0.000, 0.017)
Br (0.500, 0.500, 0.750)

total magnetic moment	0.000	μB/f.u.
DOS at the Fermi energy	0.989	states/eV per cell
DFT total energy	-0.117	hartree per atom
raw formation energy	-0.491	eV/atom